1.
# LiSm2Au (GGA-PBE, optimized geometry)
data_LiSm2Au
_chemical_formula_sum 'Li1 Sm2 Au1'
_symmetry_space_group_name_H-M 'P 1'
_symmetry_Int_Tables_number 1
_symmetry_space_group_name_Hall 'P 1'
_cell_length_a 4.434
_cell_length_b 4.432
_cell_length_c 6.768
_cell_angle_alpha 70.89
_cell_angle_beta 70.88
_cell_angle_gamma 59.98
loop_
_atom_site_label
_atom_site_fract_x
_atom_site_fract_y
_atom_site_fract_z
Li1 0.133 0.896 0.839
Sm1 0.898 0.661 0.543
Sm2 0.707 0.469 0.118
Au1 0.473 0.236 0.818
# E: -3.925 eV/atom

2.
# MgFeAg3 (GGA-PBE, optimized geometry)
data_MgFeAg3
_chemical_formula_sum 'Mg1 Fe1 Ag3'
_symmetry_space_group_name_H-M 'P 1'
_symmetry_Int_Tables_number 1
_symmetry_space_group_name_Hall 'P 1'
_cell_length_a 4.862
_cell_length_b 4.862
_cell_length_c 4.862
_cell_angle_alpha 90.00
_cell_angle_beta 90.00
_cell_angle_gamma 90.00
loop_
_atom_site_label
_atom_site_fract_x
_atom_site_fract_y
_atom_site_fract_z
Mg1 0.500 0.500 0.500
Fe1 0.000 0.000 0.000
Ag1 0.000 0.500 0.000
Ag2 0.000 0.000 0.500
Ag3 0.500 0.000 0.000
# polymorph energy (0 for the lowest one): 0.00 kJ/mol of atoms

3.
# SmY2Ho7 (GGA-PBE, optimized geometry)
data_SmY2Ho7
_chemical_formula_sum 'Sm1 Y2 Ho7'
_symmetry_space_group_name_H-M 'P 1'
_symmetry_Int_Tables_number 1
_symmetry_space_group_name_Hall 'P 1'
_cell_length_a 5.184
_cell_length_b 9.686
_cell_length_c 9.687
_cell_angle_alpha 127.35
_cell_angle_beta 90.00
_cell_angle_gamma 90.00
loop_
_atom_site_label
_atom_site_fract_x
_atom_site_fract_y
_atom_site_fract_z
Sm1 0.000 0.000 0.000
Y1 0.500 0.703 0.297
Y2 0.500 0.297 0.703
Ho1 0.000 0.805 0.195
Ho2 0.000 0.195 0.805
Ho3 0.500 0.072 0.287
Ho4 0.500 0.928 0.713
Ho5 0.500 0.287 0.072
Ho6 0.500 0.713 0.928
Ho7 0.500 0.500 0.500
# polymorph energy (0 for the lowest one): 66.41 kJ/mol of atoms

4.
# YMnMo2 (GGA-PBE, optimized geometry)
data_YMnMo2
_chemical_formula_sum 'Y1 Mn1 Mo2'
_symmetry_space_group_name_H-M 'P 1'
_symmetry_Int_Tables_number 1
_symmetry_space_group_name_Hall 'P 1'
_cell_length_a 3.116
_cell_length_b 3.114
_cell_length_c 7.269
_cell_angle_alpha 90.00
_cell_angle_beta 90.00
_cell_angle_gamma 90.00
loop_
_atom_site_label
_atom_site_fract_x
_atom_site_fract_y
_atom_site_fract_z
Mn1 0.500 0.500 0.750
Mo1 0.000 0.000 0.937
Mo2 0.000 0.000 0.563
Y1 0.500 0.500 0.250
# polymorph energy (0 for the lowest one): 12.12 kJ/mol of atoms

5.
# RbTm2Cl7 (GGA-PBE, optimized geometry)
data_RbTm2Cl7
_chemical_formula_sum 'Rb1 Tm2 Cl7'
_symmetry_space_group_name_H-M 'P 1'
_symmetry_Int_Tables_number 1
_symmetry_space_group_name_Hall 'P 1'
_cell_length_a 5.228
_cell_length_b 7.995
_cell_length_c 7.995
_cell_angle_alpha 116.65
_cell_angle_beta 90.00
_cell_angle_gamma 90.00
loop_
_atom_site_label
_atom_site_fract_x
_atom_site_fract_y
_atom_site_fract_z
Rb1 0.000 0.000 0.000
Tm1 0.500 0.696 0.304
Tm2 0.500 0.304 0.696
Cl1 0.000 0.703 0.297
Cl2 0.000 0.297 0.703
Cl3 0.500 0.047 0.329
Cl4 0.500 0.953 0.671
Cl5 0.500 0.329 0.047
Cl6 0.500 0.671 0.953
Cl7 0.500 0.500 0.500
# formation energy (no corrections): -2207 meV/atom

6.
# Ga2CuHg2 (GGA-PBE, optimized geometry)
data_Ga2CuHg2
_chemical_formula_sum 'Ga4 Cu2 Hg4'
_symmetry_space_group_name_H-M 'P 1'
_symmetry_Int_Tables_number 1
_symmetry_space_group_name_Hall 'P 1'
_cell_length_a 7.245
_cell_length_b 7.245
_cell_length_c 4.102
_cell_angle_alpha 90.00
_cell_angle_beta 90.00
_cell_angle_gamma 90.00
loop_
_atom_site_label
_atom_site_fract_x
_atom_site_fract_y
_atom_site_fract_z
Cu1 0.000 0.000 0.000
Cu2 0.500 0.500 0.000
Hg1 0.334 0.834 0.000
Hg2 0.834 0.666 0.000
Hg3 0.666 0.166 0.000
Hg4 0.166 0.334 0.000
Ga1 0.142 0.642 0.500
Ga2 0.642 0.858 0.500
Ga3 0.858 0.358 0.500
Ga4 0.358 0.142 0.500
# polymorph energy (0 for the lowest one): 10.07 kJ/mol of atoms

7.
# SrOs3 (GGA-PBE, optimized geometry)
data_SrOs3
_chemical_formula_sum 'Sr1 Os3'
_symmetry_space_group_name_H-M 'P 1'
_symmetry_Int_Tables_number 1
_symmetry_space_group_name_Hall 'P 1'
_cell_length_a 4.128
_cell_length_b 4.128
_cell_length_c 4.128
_cell_angle_alpha 90.00
_cell_angle_beta 90.00
_cell_angle_gamma 90.00
loop_
_atom_site_label
_atom_site_fract_x
_atom_site_fract_y
_atom_site_fract_z
Os1 0.000 0.500 0.500
Os2 0.500 0.000 0.500
Os3 0.500 0.500 0.000
Sr1 0.000 0.000 0.000
# E: -7.467 eV/atom

8.
# RbCoMo2S8 (GGA-PBE, optimized geometry)
data_RbCoMo2S8
_chemical_formula_sum 'Rb1 Co1 Mo2 S8'
_symmetry_space_group_name_H-M 'P 1'
_symmetry_Int_Tables_number 1
_symmetry_space_group_name_Hall 'P 1'
_cell_length_a 6.095
_cell_length_b 6.095
_cell_length_c 9.975
_cell_angle_alpha 72.21
_cell_angle_beta 72.21
_cell_angle_gamma 60.00
loop_
_atom_site_label
_atom_site_fract_x
_atom_site_fract_y
_atom_site_fract_z
Rb1 0.500 0.500 0.500
Co1 0.000 0.000 0.000
Mo1 0.262 0.262 0.213
Mo2 0.738 0.738 0.787
S1 0.185 0.185 0.446
S2 0.650 0.252 0.145
S3 0.815 0.815 0.554
S4 0.953 0.650 0.145
S5 0.047 0.350 0.855
S6 0.252 0.953 0.145
S7 0.748 0.047 0.855
S8 0.350 0.748 0.855
# formation energy (no corrections): -425 meV/atom

9.
# SrAcTl (GGA-PBE, optimized geometry)
data_SrAcTl
_chemical_formula_sum 'Sr1 Ac1 Tl1'
_symmetry_space_group_name_H-M 'P 1'
_symmetry_Int_Tables_number 1
_symmetry_space_group_name_Hall 'P 1'
_cell_length_a 4.083
_cell_length_b 4.083
_cell_length_c 7.816
_cell_angle_alpha 105.14
_cell_angle_beta 105.14
_cell_angle_gamma 90.00
loop_
_atom_site_label
_atom_site_fract_x
_atom_site_fract_y
_atom_site_fract_z
Sr1 0.924 0.924 0.847
Ac1 0.643 0.643 0.286
Tl1 0.283 0.283 0.566
# polymorph energy (0 for the lowest one): 7.27 kJ/mol of atoms